--- one ---
Compound: HfTe2PdN
Source: Alexandria
Functional: PBE
Structure: optimized geometry

Lattice parameters (Å, degrees): 5.4573 5.4573 3.7231 90.00 90.00 90.00
Site moments in Bohr magnetons follow the coordinates.
Sites, in units of the cell vectors:
Pd 0.0000 0.0000 0.0000  0.01
Hf 0.5000 0.5000 0.5000  0.16
Te 0.5000 0.0000 0.0000  -0.01
Te 0.0000 0.5000 0.0000  -0.01
N 0.0000 0.0000 0.5000  0.03

***

--- two ---
Compound: HfTe2PdN
Source: Alexandria
Functional: PBE
Structure: optimized geometry

Lattice parameters (Å, degrees): 5.6820 5.6820 3.8882 90.00 90.00 90.00
Sites, in units of the cell vectors:
Te 0.5000 0.0000 0.0000
Te 0.0000 0.5000 0.0000
N 0.0000 0.0000 0.5000
Pd 0.5000 0.5000 0.5000
Hf 0.0000 0.0000 0.0000

***

Which of them is the least stable? Correct choice: one.

***

--- one ---
Compound: Hf2TiPdN
Source: Alexandria
Functional: PBE
Structure: optimized geometry

Lattice parameters (Å, degrees): 4.3999 4.3999 4.1039 90.00 90.00 90.00
Site moments in Bohr magnetons follow the coordinates.
Sites, in units of the cell vectors:
N 0.0000 0.0000 0.0000  0.00
Ti 0.0000 0.0000 0.5000  0.10
Hf 0.5000 0.0000 0.0000  0.01
Hf 0.0000 0.5000 0.0000  0.01
Pd 0.5000 0.5000 0.5000  0.00

***

--- two ---
Compound: Hf2TiPdN
Source: Alexandria
Functional: PBE
Structure: optimized geometry

Lattice parameters (Å, degrees): 3.4540 3.4540 13.1671 90.00 90.00 90.00
Sites, in units of the cell vectors:
Ti 0.5000 0.5000 0.5000
Ti 0.0000 0.0000 0.5000
Hf 0.5000 0.0000 0.9185
Hf 0.0000 0.5000 0.0815
Hf 0.0000 0.5000 0.7549
Hf 0.5000 0.0000 0.2451
N 0.0000 0.5000 0.9174
N 0.5000 0.0000 0.0826
Pd 0.0000 0.5000 0.3303
Pd 0.5000 0.0000 0.6697

***

Which of them is the least stable? Correct choice: two.

***

--- one ---
Compound: PmHfN2
Source: Alexandria
Functional: PBE
Structure: optimized geometry

Lattice parameters (Å, degrees): 3.2979 3.2979 6.2087 74.60 74.60 60.00
Site moments in Bohr magnetons follow the coordinates.
Sites, in units of the cell vectors:
N 0.2650 0.2650 0.2051  0.00
N 0.0700 0.0700 0.7900  0.00
Hf 0.6690 0.6690 0.9931  0.01
Pm 0.4960 0.4960 0.5119  0.06

***

--- two ---
Compound: PmHfN2
Source: Alexandria
Functional: PBE
Structure: optimized geometry

Lattice parameters (Å, degrees): 3.3382 3.3382 6.0199 73.90 73.90 60.00
Sites, in units of the cell vectors:
N 0.7368 0.7368 0.7896
N 0.2632 0.2632 0.2104
Hf 0.0000 0.0000 0.0000
Pm 0.5000 0.5000 0.5000

***

Which of them is the least stable? Correct choice: one.

***

--- one ---
Compound: HfPt3N
Source: Alexandria
Functional: PBE
Structure: optimized geometry

Lattice parameters (Å, degrees): 4.2571 4.2571 4.2571 90.00 90.00 90.00
Sites, in units of the cell vectors:
N 0.0000 0.0000 0.0000
Pt 0.0000 0.5000 0.0000
Pt 0.5000 0.0000 0.0000
Pt 0.0000 0.0000 0.5000
Hf 0.5000 0.5000 0.5000

***

--- two ---
Compound: HfPt3N
Source: Alexandria
Functional: PBE
Structure: optimized geometry

Lattice parameters (Å, degrees): 4.9872 4.9872 4.9872 90.00 90.00 90.00
Site moments in Bohr magnetons follow the coordinates.
Sites, in units of the cell vectors:
Hf 0.0000 0.0000 0.0000  -0.02
Pt 0.0000 0.5000 0.0000  -0.03
Pt 0.5000 0.0000 0.0000  -0.03
Pt 0.0000 0.0000 0.5000  0.04
N 0.5000 0.5000 0.5000  1.73

***

Which of them is the least stable? Correct choice: two.

***

--- one ---
Compound: HfTePtN2
Source: Alexandria
Functional: PBE
Structure: optimized geometry

Lattice parameters (Å, degrees): 4.0544 4.0544 5.3580 90.00 90.00 90.00
Site moments in Bohr magnetons follow the coordinates.
Sites, in units of the cell vectors:
Pt 0.0000 0.0000 0.0000  0.33
N 0.0000 0.5000 0.0000  0.50
N 0.5000 0.0000 0.0000  0.50
Hf 0.5000 0.5000 0.5000  -0.29
Te 0.0000 0.0000 0.5000  0.06

***

--- two ---
Compound: HfTePtN2
Source: Alexandria
Functional: PBE
Structure: optimized geometry

Lattice parameters (Å, degrees): 4.0250 4.0250 6.2270 90.00 90.00 90.00
Sites, in units of the cell vectors:
Hf 0.0000 0.0000 0.0000
Te 0.0000 0.0000 0.5000
Pt 0.5000 0.5000 0.5000
N 0.5000 0.0000 0.0000
N 0.0000 0.5000 0.0000

***

Which of them is the least stable? Correct choice: one.

***

--- one ---
Compound: PuHfN
Source: Alexandria
Functional: PBE
Structure: optimized geometry

Lattice parameters (Å, degrees): 3.1783 8.8139 6.7185 90.00 90.00 90.00
Sites, in units of the cell vectors:
Hf 0.7500 0.6566 0.4360
Hf 0.2500 0.8434 0.9360
Hf 0.7500 0.1566 0.0640
Hf 0.2500 0.3434 0.5640
Pu 0.7500 0.0367 0.6156
Pu 0.2500 0.9633 0.3844
Pu 0.7500 0.5367 0.8844
Pu 0.2500 0.4633 0.1156
N 0.2500 0.6024 0.6515
N 0.7500 0.8976 0.1515
N 0.7500 0.3976 0.3485
N 0.2500 0.1024 0.8485

***

--- two ---
Compound: PuHfN
Source: Alexandria
Functional: PBE
Structure: optimized geometry

Lattice parameters (Å, degrees): 5.8145 3.2562 3.2562 120.00 90.00 90.00
Site moments in Bohr magnetons follow the coordinates.
Sites, in units of the cell vectors:
N 0.3120 0.3333 0.6667  -0.06
Pu 0.5788 0.6667 0.3333  5.13
Hf 0.1093 0.0000 0.0000  -0.18

***

Which of them is the least stable? Correct choice: one.

***

--- one ---
Compound: RbHfN2
Source: Alexandria
Functional: PBE
Structure: optimized geometry

Lattice parameters (Å, degrees): 4.2749 4.2749 4.2749 60.00 60.00 60.00
Sites, in units of the cell vectors:
Rb 0.0000 0.0000 0.0000
Hf 0.5000 0.5000 0.5000
N 0.2500 0.2500 0.2500
N 0.7500 0.7500 0.7500

***

--- two ---
Compound: RbHfN2
Source: Alexandria
Functional: PBE
Structure: optimized geometry

Lattice parameters (Å, degrees): 7.5794 7.5794 7.5794 25.73 25.73 25.73
Site moments in Bohr magnetons follow the coordinates.
Sites, in units of the cell vectors:
Hf 0.5000 0.5000 0.5000  -0.02
Rb 0.0000 0.0000 0.0000  0.01
N 0.1194 0.1194 0.1194  0.18
N 0.8806 0.8806 0.8806  0.18

***

Which of them is the least stable? Correct choice: one.

***

--- one ---
Compound: RbHfN2
Source: Alexandria
Functional: PBE
Structure: optimized geometry

Lattice parameters (Å, degrees): 6.2076 6.2076 6.3735 60.86 60.86 90.00
Site moments in Bohr magnetons follow the coordinates.
Sites, in units of the cell vectors:
N 0.9794 0.6250 0.2500  0.38
N 0.7706 0.1250 0.2500  0.35
N 0.8750 0.0207 0.7500  0.35
N 0.3750 0.2294 0.7500  0.32
Rb 0.2500 0.7500 0.5000  0.00
Rb 0.5000 0.5000 0.0000  0.00
Hf 0.0000 0.0000 0.0000  -0.04
Hf 0.7500 0.2500 0.5000  -0.04

***

--- two ---
Compound: RbHfN2
Source: Alexandria
Functional: PBE
Structure: optimized geometry

Lattice parameters (Å, degrees): 8.0328 8.0328 8.0328 27.40 27.40 27.40
Site moments in Bohr magnetons follow the coordinates.
Sites, in units of the cell vectors:
Hf 0.0000 0.0000 0.0000  -0.12
N 0.0835 0.0835 0.0835  0.77
N 0.9165 0.9165 0.9165  0.77
Rb 0.5000 0.5000 0.5000  0.03

***

Which of them is the least stable? Correct choice: two.